[1]
# TcAuSe2 | Alexandria via LeMat-Bulk | PBE | optimized geometry
# excess energy over the best structure of this formula in the dataset = 68.6 kJ per mole of atoms
# SG = Cmmm, No. 65
data_TcAuSe2
_symmetry_space_group_name_H-M 'P 1'
_symmetry_Int_Tables_number 1
_cell_length_a 4.607
_cell_length_b 4.607
_cell_length_c 3.314
_cell_angle_alpha 90.00
_cell_angle_beta 90.00
_cell_angle_gamma 90.06
loop_
_symmetry_equiv_pos_as_xyz
'x,y,z'
loop_
_atom_site_label
_atom_site_type_symbol
_atom_site_fract_x
_atom_site_fract_y
_atom_site_fract_z
Tc1 Tc 0.000 0.000 0.000
Au1 Au 0.500 0.500 0.000
Se1 Se 0.000 0.500 0.500
Se2 Se 0.500 0.000 0.500


[2]
# TcAu2Se | Alexandria via LeMat-Bulk | PBE | optimized geometry
# E = -4.579 eV per atom
# SG = Cmmm, No. 65
data_TcAu2Se
_symmetry_space_group_name_H-M 'P 1'
_symmetry_Int_Tables_number 1
_cell_length_a 5.392
_cell_length_b 5.392
_cell_length_c 2.742
_cell_angle_alpha 90.00
_cell_angle_beta 90.00
_cell_angle_gamma 118.36
loop_
_symmetry_equiv_pos_as_xyz
'x,y,z'
loop_
_atom_site_label
_atom_site_type_symbol
_atom_site_fract_x
_atom_site_fract_y
_atom_site_fract_z
Tc1 Tc 0.000 0.000 0.000
Au1 Au 0.000 0.500 0.500
Au2 Au 0.500 0.000 0.500
Se1 Se 0.500 0.500 0.000


[3]
# TcAuSe2 | Alexandria via LeMat-Bulk | PBE | optimized geometry
# excess energy over the best structure of this formula in the dataset = 9.0 kJ per mole of atoms
# SG = C2/m, No. 12
data_TcAuSe2
_symmetry_space_group_name_H-M 'P 1'
_symmetry_Int_Tables_number 1
_cell_length_a 6.830
_cell_length_b 6.830
_cell_length_c 8.415
_cell_angle_alpha 124.01
_cell_angle_beta 124.01
_cell_angle_gamma 33.21
loop_
_symmetry_equiv_pos_as_xyz
'x,y,z'
loop_
_atom_site_label
_atom_site_type_symbol
_atom_site_fract_x
_atom_site_fract_y
_atom_site_fract_z
Tc1 Tc 0.208 0.208 0.061
Tc2 Tc 0.792 0.792 0.939
Au1 Au 0.477 0.477 0.147
Au2 Au 0.523 0.523 0.853
Se1 Se 0.135 0.135 0.284
Se2 Se 0.160 0.160 0.734
Se3 Se 0.840 0.840 0.266
Se4 Se 0.865 0.865 0.716


[4]
# TcAuSe2 | Alexandria via LeMat-Bulk | PBE | optimized geometry
# excess energy over the best structure of this formula in the dataset = 33.1 kJ per mole of atoms
# SG = I-42d, No. 122
data_TcAuSe2
_symmetry_space_group_name_H-M 'P 1'
_symmetry_Int_Tables_number 1
_cell_length_a 7.075
_cell_length_b 7.075
_cell_length_c 7.075
_cell_angle_alpha 131.78
_cell_angle_beta 131.78
_cell_angle_gamma 70.57
loop_
_symmetry_equiv_pos_as_xyz
'x,y,z'
loop_
_atom_site_label
_atom_site_type_symbol
_atom_site_fract_x
_atom_site_fract_y
_atom_site_fract_z
Tc1 Tc 0.000 0.000 0.000
Tc2 Tc 0.750 0.250 0.500
Au1 Au 0.250 0.750 0.500
Au2 Au 0.500 0.500 0.000
Se1 Se 0.091 0.625 0.966
Se2 Se 0.375 0.341 0.466
Se3 Se 0.659 0.125 0.034
Se4 Se 0.875 0.909 0.534


[5]
# TcAuSe2 | Alexandria via LeMat-Bulk | PBE | optimized geometry
# excess energy over the best structure of this formula in the dataset = 26.9 kJ per mole of atoms
# SG = P4/mmm, No. 123
data_TcAuSe2
_symmetry_space_group_name_H-M 'P 1'
_symmetry_Int_Tables_number 1
_cell_length_a 2.965
_cell_length_b 2.965
_cell_length_c 9.242
_cell_angle_alpha 90.00
_cell_angle_beta 90.00
_cell_angle_gamma 90.00
loop_
_symmetry_equiv_pos_as_xyz
'x,y,z'
loop_
_atom_site_label
_atom_site_type_symbol
_atom_site_fract_x
_atom_site_fract_y
_atom_site_fract_z
Tc1 Tc 0.000 0.000 0.000
Au1 Au 0.000 0.000 0.500
Se1 Se 0.500 0.500 0.172
Se2 Se 0.500 0.500 0.828


[6]
# TcAuSe2 | Alexandria via LeMat-Bulk | PBE | optimized geometry
# excess energy over the best structure of this formula in the dataset = 30.1 kJ per mole of atoms
# SG = P3m1, No. 156
data_TcAuSe2
_symmetry_space_group_name_H-M 'P 1'
_symmetry_Int_Tables_number 1
_cell_length_a 2.965
_cell_length_b 2.965
_cell_length_c 11.334
_cell_angle_alpha 90.00
_cell_angle_beta 90.00
_cell_angle_gamma 120.00
loop_
_symmetry_equiv_pos_as_xyz
'x,y,z'
loop_
_atom_site_label
_atom_site_type_symbol
_atom_site_fract_x
_atom_site_fract_y
_atom_site_fract_z
Tc1 Tc 0.000 0.000 0.000
Au1 Au 0.667 0.333 0.538
Se1 Se 0.000 0.000 0.220
Se2 Se 0.333 0.667 0.848


[7]
# Tc2AuSe | Alexandria via LeMat-Bulk | PBE | optimized geometry
# E = -6.543 eV per atom
# SG = Pm, No. 6
data_Tc2AuSe
_symmetry_space_group_name_H-M 'P 1'
_symmetry_Int_Tables_number 1
_cell_length_a 2.938
_cell_length_b 4.372
_cell_length_c 5.429
_cell_angle_alpha 90.00
_cell_angle_beta 105.59
_cell_angle_gamma 90.00
loop_
_symmetry_equiv_pos_as_xyz
'x,y,z'
loop_
_atom_site_label
_atom_site_type_symbol
_atom_site_fract_x
_atom_site_fract_y
_atom_site_fract_z
Tc1 Tc 0.000 0.000 0.000
Tc2 Tc 0.405 0.500 0.809
Au1 Au 0.657 0.500 0.312
Se1 Se 0.306 0.000 0.610


[8]
# TcAu3Se | Alexandria via LeMat-Bulk | PBE | optimized geometry
# excess energy over the best structure of this formula in the dataset = 15.3 kJ per mole of atoms
# SG = Pm-3m, No. 221
data_TcAu3Se
_symmetry_space_group_name_H-M 'P 1'
_symmetry_Int_Tables_number 1
_cell_length_a 4.999
_cell_length_b 4.999
_cell_length_c 4.999
_cell_angle_alpha 90.00
_cell_angle_beta 90.00
_cell_angle_gamma 90.00
loop_
_symmetry_equiv_pos_as_xyz
'x,y,z'
loop_
_atom_site_label
_atom_site_type_symbol
_atom_site_fract_x
_atom_site_fract_y
_atom_site_fract_z
Tc1 Tc 0.000 0.000 0.000
Au1 Au 0.000 0.000 0.500
Au2 Au 0.000 0.500 0.000
Au3 Au 0.500 0.000 0.000
Se1 Se 0.500 0.500 0.500


[9]
# TcAuSe2 | Alexandria via LeMat-Bulk | PBE | optimized geometry
# excess energy over the best structure of this formula in the dataset = 32.6 kJ per mole of atoms
# SG = Pna2_1, No. 33
data_TcAuSe2
_symmetry_space_group_name_H-M 'P 1'
_symmetry_Int_Tables_number 1
_cell_length_a 6.701
_cell_length_b 8.083
_cell_length_c 5.779
_cell_angle_alpha 90.00
_cell_angle_beta 90.00
_cell_angle_gamma 90.00
loop_
_symmetry_equiv_pos_as_xyz
'x,y,z'
loop_
_atom_site_label
_atom_site_type_symbol
_atom_site_fract_x
_atom_site_fract_y
_atom_site_fract_z
Tc1 Tc 0.116 0.032 0.000
Tc2 Tc 0.384 0.532 0.500
Tc3 Tc 0.616 0.468 0.000
Tc4 Tc 0.884 0.968 0.500
Au1 Au 0.019 0.495 0.729
Au2 Au 0.481 0.995 0.229
Au3 Au 0.519 0.005 0.729
Au4 Au 0.981 0.505 0.229
Se1 Se 0.101 0.189 0.651
Se2 Se 0.158 0.797 0.669
Se3 Se 0.342 0.297 0.169
Se4 Se 0.399 0.689 0.151
Se5 Se 0.601 0.311 0.651
Se6 Se 0.658 0.703 0.669
Se7 Se 0.842 0.203 0.169
Se8 Se 0.899 0.811 0.151


[10]
# TcAu2Se | Alexandria via LeMat-Bulk | PBE | optimized geometry
# E = -4.662 eV per atom
# SG = P4/mmm, No. 123
data_TcAu2Se
_symmetry_space_group_name_H-M 'P 1'
_symmetry_Int_Tables_number 1
_cell_length_a 2.785
_cell_length_b 2.785
_cell_length_c 9.437
_cell_angle_alpha 90.00
_cell_angle_beta 90.00
_cell_angle_gamma 90.00
loop_
_symmetry_equiv_pos_as_xyz
'x,y,z'
loop_
_atom_site_label
_atom_site_type_symbol
_atom_site_fract_x
_atom_site_fract_y
_atom_site_fract_z
Tc1 Tc 0.000 0.000 0.000
Au1 Au 0.500 0.500 0.222
Au2 Au 0.500 0.500 0.778
Se1 Se 0.000 0.000 0.500


[11]
# TcAuSe2 | Alexandria via LeMat-Bulk | PBE | optimized geometry
# excess energy over the best structure of this formula in the dataset = 26.1 kJ per mole of atoms
# SG = P2_1/c, No. 14
data_TcAuSe2
_symmetry_space_group_name_H-M 'P 1'
_symmetry_Int_Tables_number 1
_cell_length_a 6.620
_cell_length_b 4.222
_cell_length_c 12.799
_cell_angle_alpha 90.00
_cell_angle_beta 117.06
_cell_angle_gamma 90.00
loop_
_symmetry_equiv_pos_as_xyz
'x,y,z'
loop_
_atom_site_label
_atom_site_type_symbol
_atom_site_fract_x
_atom_site_fract_y
_atom_site_fract_z
Tc1 Tc 0.164 0.108 0.471
Tc2 Tc 0.164 0.392 0.971
Tc3 Tc 0.836 0.608 0.029
Tc4 Tc 0.836 0.892 0.529
Au1 Au 0.152 0.149 0.757
Au2 Au 0.152 0.351 0.257
Au3 Au 0.848 0.649 0.743
Au4 Au 0.848 0.851 0.243
Se1 Se 0.212 0.635 0.591
Se2 Se 0.212 0.865 0.091
Se3 Se 0.402 0.654 0.886
Se4 Se 0.402 0.846 0.386
Se5 Se 0.598 0.154 0.614
Se6 Se 0.598 0.346 0.114
Se7 Se 0.788 0.135 0.909
Se8 Se 0.788 0.365 0.409


[12]
# TcAuSe2 | Alexandria via LeMat-Bulk | PBE | optimized geometry
# excess energy over the best structure of this formula in the dataset = 34.6 kJ per mole of atoms
# SG = Pm, No. 6
data_TcAuSe2
_symmetry_space_group_name_H-M 'P 1'
_symmetry_Int_Tables_number 1
_cell_length_a 3.364
_cell_length_b 3.707
_cell_length_c 7.323
_cell_angle_alpha 90.00
_cell_angle_beta 102.85
_cell_angle_gamma 90.00
loop_
_symmetry_equiv_pos_as_xyz
'x,y,z'
loop_
_atom_site_label
_atom_site_type_symbol
_atom_site_fract_x
_atom_site_fract_y
_atom_site_fract_z
Tc1 Tc 0.000 0.000 0.000
Au1 Au 0.593 0.500 0.192
Se1 Se 0.166 0.000 0.344
Se2 Se 0.896 0.500 0.784